[1]
Entry from Alexandria via LeMat-Bulk: DyAgS2 after structural relaxation (PBE).

a = 3.863 Å, b = 3.863 Å, c = 20.031 Å
α = 90.00°, β = 90.00°, γ = 120.00°
Sites, in units of the cell vectors:
Dy 0.000 0.000 0.000
Dy 0.333 0.667 0.667
Dy 0.667 0.333 0.333
Ag 0.000 0.000 0.832
Ag 0.333 0.667 0.499
Ag 0.667 0.333 0.165
S 0.000 0.000 0.252
S 0.000 0.000 0.416
S 0.333 0.667 0.083
S 0.333 0.667 0.918
S 0.667 0.333 0.585
S 0.667 0.333 0.749

Values from the calculation:
E_form (uncorrected) = -1.170 eV per atom
SG = No. 160
Crystal system = trigonal



[2]
Entry from Alexandria via LeMat-Bulk: Dy3AgS6 after structural relaxation (PBE).

a = 8.421 Å, b = 8.421 Å, c = 6.653 Å
α = 90.00°, β = 90.00°, γ = 103.69°
Sites, in units of the cell vectors:
Dy 0.097 0.903 0.500
Dy 0.207 0.417 0.597
Dy 0.417 0.207 0.097
Dy 0.583 0.793 0.597
Dy 0.793 0.583 0.097
Dy 0.903 0.097 0.000
Ag 0.347 0.653 0.092
Ag 0.653 0.347 0.592
S 0.081 0.598 0.306
S 0.134 0.193 0.295
S 0.193 0.134 0.795
S 0.270 0.730 0.751
S 0.402 0.919 0.306
S 0.491 0.509 0.357
S 0.509 0.491 0.857
S 0.598 0.081 0.806
S 0.730 0.270 0.251
S 0.807 0.866 0.295
S 0.866 0.807 0.795
S 0.919 0.402 0.806

Values from the calculation:
E_form (uncorrected) = -1.426 eV per atom
Density of states at the Fermi level = 7.13 states/eV/f.u.
SG = No. 36
Crystal system = orthorhombic



[3]
Entry from Alexandria via LeMat-Bulk: DyAg2S2 after structural relaxation (PBE).

a = 5.665 Å, b = 5.665 Å, c = 7.288 Å
α = 109.59°, β = 109.59°, γ = 88.18°
Sites, in units of the cell vectors:
Dy 0.149 0.851 0.750
Dy 0.851 0.149 0.250
Ag 0.000 0.500 0.000
Ag 0.500 0.000 0.500
Ag 0.500 0.500 0.000
Ag 0.500 0.500 0.500
S 0.111 0.320 0.683
S 0.320 0.111 0.183
S 0.680 0.889 0.817
S 0.889 0.680 0.317

Values from the calculation:
E_form (uncorrected) = -0.688 eV per atom
Density of states at the Fermi level = 2.83 states/eV/f.u.
SG = No. 15
Crystal system = monoclinic



[4]
Entry from Alexandria via LeMat-Bulk: DyAgS2 after structural relaxation (PBE).

a = 4.088 Å, b = 4.088 Å, c = 22.634 Å
α = 90.00°, β = 90.00°, γ = 120.00°
Sites, in units of the cell vectors:
Dy 0.000 0.000 0.000
Dy 0.333 0.667 0.667
Dy 0.667 0.333 0.333
Ag 0.000 0.000 0.500
Ag 0.333 0.667 0.167
Ag 0.667 0.333 0.833
S 0.000 0.000 0.396
S 0.000 0.000 0.604
S 0.333 0.667 0.062
S 0.333 0.667 0.271
S 0.667 0.333 0.729
S 0.667 0.333 0.938

Values from the calculation:
E_form (uncorrected) = -1.310 eV per atom
Density of states at the Fermi level = 0.00 states/eV/f.u.
SG = No. 166
Crystal system = trigonal



| no. | VASP energy (eV/atom) | spin magnetization (μB per formula unit) |
| --- | --- | --- |
| 1 | -5.097 | 0.00 |
| 2 | -5.568 | 0.49 |
| 3 | -4.400 | 0.00 |
| 4 | -5.237 | 0.00 |